# 1
This record from the Alexandria database describes a relaxed Nd3ErHg6 crystal. The functional is GGA-PBE.

Values from the calculation:
energy of formation: -0.43 eV/atom
crystal system: monoclinic
total energy: -2.495 eV/atom
total moment: 0.02 μB/cell

```
Nd3ErHg6
1.0
9.422 0.000 0.000
0.000 5.206 0.000
-3.191 0.000 10.828
Nd Er Hg
6 2 12
Cartesian
-1.120 1.301 4.172
0.706 3.904 2.316
-0.576 1.301 10.729
6.808 3.904 0.100
5.526 1.301 8.512
7.352 3.904 6.656
2.248 1.301 6.504
3.984 3.904 4.325
-2.596 3.904 9.917
-0.632 1.301 7.557
0.922 3.904 5.466
2.351 1.301 3.359
0.746 3.904 8.835
3.779 3.904 1.282
2.452 1.301 9.546
5.486 1.301 1.993
3.881 3.904 7.469
5.310 1.301 5.363
6.863 3.904 3.271
8.828 1.301 0.912
```



# 2
This record from the Alexandria database describes a relaxed NdEr2Hg4 crystal. The functional is GGA-PBE.

Values from the calculation:
energy of formation: -0.29 eV/atom
crystal system: trigonal
total energy: -2.452 eV/atom
total moment: 0.00 μB/cell

```
NdEr2Hg4
1.0
2.473 1.428 8.965
-2.473 1.428 8.965
0.000 -2.856 8.965
Nd Er Hg
1 2 4
Cartesian
0.000 0.000 0.000
0.000 0.000 3.355
0.000 0.000 23.539
0.000 0.000 6.593
0.000 0.000 10.663
0.000 0.000 16.232
0.000 0.000 20.302
```



# 3
This record from the Alexandria database describes a relaxed Nd2ErHg crystal. The functional is GGA-PBE.

Values from the calculation:
energy of formation: -0.13 eV/atom
crystal system: trigonal
total energy: -3.732 eV/atom
total moment: 0.00 μB/cell

```
Nd2ErHg
1.0
3.697 0.000 0.000
-1.849 3.202 0.000
0.000 0.000 32.255
Nd Er Hg
6 3 3
Cartesian
0.000 0.000 0.000
0.000 0.000 5.720
0.000 2.135 21.503
0.000 2.135 27.224
1.849 1.067 10.752
1.849 1.067 16.472
0.000 0.000 13.603
0.000 2.135 2.852
1.849 1.067 24.355
0.000 0.000 18.990
0.000 2.135 8.238
1.849 1.067 29.742
```



# 4
This record from the Alexandria database describes a relaxed NdEr2Hg4 crystal. The functional is GGA-PBE.

Values from the calculation:
energy of formation: -0.37 eV/atom
crystal system: orthorhombic
total energy: -2.528 eV/atom
total moment: 0.00 μB/cell

```
NdEr2Hg4
1.0
7.201 0.000 0.000
0.000 10.671 0.000
0.000 0.000 5.125
Nd Er Hg
2 4 8
Cartesian
0.000 0.000 0.000
3.601 5.335 0.000
0.000 2.725 2.562
0.000 7.946 2.562
3.601 2.610 2.562
3.601 8.061 2.562
1.613 5.335 2.562
1.800 2.668 0.000
1.800 8.003 0.000
1.987 0.000 2.562
5.214 0.000 2.562
5.401 2.668 0.000
5.401 8.003 0.000
5.588 5.335 2.562
```



# 5
This record from the Alexandria database describes a relaxed NdErHg3 crystal. The functional is GGA-PBE.

Values from the calculation:
energy of formation: -0.14 eV/atom
crystal system: orthorhombic
total energy: -2.186 eV/atom
total moment: 0.00 μB/cell

```
NdErHg3
1.0
5.888 0.000 0.000
0.000 8.797 0.000
0.000 0.000 5.940
Nd Er Hg
2 2 6
Cartesian
0.000 0.000 0.000
2.944 4.398 0.000
0.000 4.398 2.970
2.944 0.000 2.970
0.000 1.487 2.970
0.000 4.398 0.000
0.000 7.310 2.970
2.944 0.000 0.000
2.944 2.911 2.970
2.944 5.885 2.970
```



# 6
This record from the Alexandria database describes a relaxed NdEr4Hg4 crystal. The functional is GGA-PBE.

Values from the calculation:
energy of formation: -0.25 eV/atom
crystal system: tetragonal
total energy: -2.942 eV/atom
total moment: 0.00 μB/cell

```
NdEr4Hg4
1.0
9.580 0.000 0.000
0.000 9.580 0.000
0.000 0.000 5.462
Nd Er Hg
2 8 8
Cartesian
2.395 2.395 1.366
7.185 7.185 4.097
0.983 8.050 3.632
1.530 5.773 0.900
3.260 8.597 0.900
3.807 6.320 3.632
5.773 3.260 1.831
6.320 0.983 4.562
8.050 3.807 4.562
8.597 1.530 1.831
0.391 1.384 4.565
1.384 4.399 3.628
3.406 0.391 3.628
4.399 3.406 4.565
5.181 6.174 0.897
6.174 9.189 1.834
8.196 5.181 1.834
9.189 8.196 0.897
```



# 7
This record from the Alexandria database describes a relaxed NdEr5Hg4 crystal. The functional is GGA-PBE.

Values from the calculation:
energy of formation: -0.38 eV/atom
crystal system: tetragonal
total energy: -3.259 eV/atom
total moment: 0.00 μB/cell

```
NdEr5Hg4
1.0
3.667 0.000 0.000
0.000 3.667 0.000
0.000 0.000 19.923
Nd Er Hg
1 5 4
Cartesian
0.000 0.000 0.000
1.833 1.833 2.507
1.833 1.833 6.245
1.833 1.833 9.961
1.833 1.833 13.677
1.833 1.833 17.416
0.000 0.000 4.340
0.000 0.000 8.072
0.000 0.000 11.850
0.000 0.000 15.583
```



# 8
This record from the Alexandria database describes a relaxed Nd4ErHg4 crystal. The functional is GGA-PBE.

Values from the calculation:
energy of formation: -0.26 eV/atom
crystal system: tetragonal
total energy: -3.022 eV/atom
total moment: 0.00 μB/cell

```
Nd4ErHg4
1.0
9.590 0.000 0.000
0.000 9.590 0.000
0.000 0.000 5.753
Nd Er Hg
8 2 8
Cartesian
0.872 8.027 0.801
1.563 5.667 3.678
3.232 8.718 3.678
3.923 6.358 0.801
5.667 3.232 4.952
6.358 0.872 2.076
8.027 3.923 2.076
8.718 1.563 4.952
2.398 2.398 4.315
7.193 7.193 1.438
0.509 1.422 2.101
1.422 4.287 0.775
3.373 0.509 0.775
4.287 3.373 2.101
5.304 6.218 3.652
6.218 9.082 4.978
8.168 5.304 4.978
9.082 8.168 3.652
```